Crystalline Nd4P at its relaxed geometry. Source: Alexandria via LeMat-Bulk, functional GGA-PBE.

```
Nd4P
1.0
5.605 0.000 0.000
0.000 5.605 0.000
0.000 0.000 5.605
Nd P
4 1
Direct
0.000 0.000 0.000 Nd
0.000 0.500 0.500 Nd
0.500 0.000 0.500 Nd
0.500 0.500 0.000 Nd
0.500 0.500 0.500 P
```

* formation enthalpy at 0 K: -1.96 eV/f.u.
* space-group type: Pm-3m
* VASP energy: -26.4 eV for the cell shown